No. 1
A plane-wave DFT calculation with GGA-PBE was carried out for a geometry-optimized K3H12Pt5 structure.

## Properties
As for the total energy: -300.083 eV per cell. Its symmetry is Ia-3d, No. 230. Its calculated volume is 953.1 Å³/cell.

Cell lengths 10.738, 10.738, 10.738 Å; angles 109.47, 109.47, 109.47 degrees
Sites, in units of the cell vectors:
H: 0.317 0.840 0.422
H: 0.477 0.160 0.082
H: 0.317 0.477 0.395
H: 0.340 0.918 0.023
H: 0.082 0.422 0.105
H: 0.183 0.105 0.023
H: 0.922 0.105 0.582
H: 0.477 0.317 0.895
H: 0.660 0.082 0.977
H: 0.817 0.922 0.340
H: 0.895 0.817 0.477
H: 0.418 0.395 0.078
H: 0.160 0.477 0.582
H: 0.977 0.582 0.660
H: 0.582 0.977 0.160
H: 0.918 0.578 0.895
H: 0.582 0.605 0.922
H: 0.605 0.023 0.683
H: 0.395 0.977 0.317
H: 0.840 0.523 0.418
H: 0.977 0.395 0.817
H: 0.105 0.922 0.082
H: 0.605 0.582 0.422
H: 0.023 0.418 0.340
H: 0.422 0.340 0.317
H: 0.922 0.817 0.840
H: 0.523 0.840 0.918
H: 0.895 0.078 0.918
H: 0.683 0.523 0.605
H: 0.817 0.895 0.977
H: 0.840 0.317 0.922
H: 0.023 0.605 0.183
H: 0.078 0.183 0.160
H: 0.160 0.683 0.078
H: 0.105 0.183 0.523
H: 0.918 0.340 0.523
H: 0.578 0.918 0.395
H: 0.660 0.578 0.183
H: 0.082 0.660 0.477
H: 0.340 0.422 0.817
H: 0.078 0.895 0.418
H: 0.578 0.660 0.683
H: 0.422 0.082 0.605
H: 0.395 0.418 0.578
H: 0.523 0.683 0.105
H: 0.418 0.023 0.840
H: 0.183 0.078 0.660
H: 0.683 0.160 0.578
Pt: 0.875 0.625 0.750
Pt: 0.000 0.500 0.000
Pt: 0.500 0.000 0.500
Pt: 0.000 0.500 0.500
Pt: 0.250 0.375 0.625
Pt: 0.750 0.125 0.875
Pt: 0.125 0.375 0.250
Pt: 0.375 0.250 0.125
Pt: 0.375 0.125 0.750
Pt: 0.500 0.000 0.000
Pt: 0.875 0.250 0.625
Pt: 0.000 0.000 0.000
Pt: 0.250 0.875 0.125
Pt: 0.625 0.750 0.875
Pt: 0.500 0.500 0.500
Pt: 0.625 0.875 0.250
Pt: 0.000 0.000 0.500
Pt: 0.500 0.500 0.000
Pt: 0.125 0.750 0.375
Pt: 0.750 0.625 0.375
K: 0.250 0.625 0.875
K: 0.625 0.250 0.375
K: 0.125 0.250 0.875
K: 0.875 0.750 0.125
K: 0.250 0.125 0.375
K: 0.625 0.375 0.750
K: 0.125 0.875 0.750
K: 0.375 0.625 0.250
K: 0.750 0.375 0.125
K: 0.875 0.125 0.250
K: 0.750 0.875 0.625
K: 0.375 0.750 0.625

***

No. 2
A plane-wave DFT calculation with GGA-PBE was carried out for a geometry-optimized SiOsSe2 structure.

## Properties
As for the total energy: -20.818 eV per cell. Its symmetry is P4/mmm, No. 123. The value obtained for the raw formation energy is 0.70 eV/atom. Its calculated volume is 65.7 Å³/cell.

Cell lengths 3.016, 4.668, 4.668 Å; angles 90.00, 90.00, 90.00 degrees
Sites, in units of the cell vectors:
Os: 0.500 0.000 0.500
Si: 0.500 0.500 0.000
Se: 0.000 0.000 0.000
Se: 0.000 0.500 0.500

***

No. 3
A plane-wave DFT calculation with GGA-PBE was carried out for a geometry-optimized Li2CdOs structure.

## Properties
As for the total energy: -14.419 eV per cell. Its symmetry is I4/mmm, No. 139. For the formation energy, the calculation gives 0.39 eV/atom. Its calculated volume is 61.4 Å³/cell.

Cell lengths 4.904, 4.904, 4.904 Å; angles 133.27, 133.27, 68.23 degrees
Sites, in units of the cell vectors:
Li: 0.500 0.500 0.000
Li: 0.000 0.000 0.000
Os: 0.250 0.750 0.500
Cd: 0.750 0.250 0.500

***

No. 4
A plane-wave DFT calculation with GGA-PBE was carried out for a geometry-optimized GdAg structure.

## Properties
As for the total energy: -17.534 eV per cell. Its symmetry is Pm-3m, No. 221. For the formation energy, the calculation gives -0.30 eV/atom. Its calculated volume is 49.4 Å³/cell.

Cell lengths 3.669, 3.669, 3.669 Å; angles 90.00, 90.00, 90.00 degrees
Site moments in Bohr magnetons follow the coordinates.
Sites, in units of the cell vectors:
Gd: 0.000 0.000 0.000  7.06
Ag: 0.500 0.500 0.500  0.00

***

No. 5
A plane-wave DFT calculation with GGA-PBE was carried out for a geometry-optimized SmAlZn3Au structure.

## Properties
As for the total energy: -33.364 eV per cell. Its symmetry is Cmcm, No. 63. For the formation energy, the calculation gives -0.19 eV/atom. Its calculated volume is 235.5 Å³/cell.

Cell lengths 5.870, 6.191, 7.182 Å; angles 115.53, 90.00, 90.00 degrees
Sites, in units of the cell vectors:
Zn: 0.000 0.698 0.000
Zn: 0.750 0.871 0.741
Zn: 0.500 0.302 0.000
Zn: 0.500 0.698 0.000
Zn: 0.000 0.302 0.000
Zn: 0.250 0.129 0.259
Al: 0.750 0.074 0.148
Al: 0.250 0.926 0.852
Sm: 0.250 0.702 0.404
Sm: 0.750 0.298 0.596
Au: 0.750 0.663 0.327
Au: 0.250 0.337 0.673

***

No. 6
A plane-wave DFT calculation with GGA-PBE was carried out for a geometry-optimized AcYBi2 structure.

## Properties
As for the total energy: -22.077 eV per cell. The offset from the most stable computed form comes out at 0 meV/atom. Its symmetry is R-3m, No. 166. For the formation energy, the calculation gives -0.94 eV/atom. Its calculated volume is 145.3 Å³/cell.

Cell lengths 4.690, 4.690, 8.095 Å; angles 73.16, 73.16, 60.00 degrees
Sites, in units of the cell vectors:
Bi: 0.743 0.743 0.772
Bi: 0.257 0.257 0.228
Y: 0.000 0.000 0.000
Ac: 0.500 0.500 0.500

***

No. 7
A plane-wave DFT calculation with GGA-PBE was carried out for a geometry-optimized PmNd6Ho3 structure.

## Properties
As for the total energy: -91.362 eV per cell. The offset from the most stable computed form comes out at 16 meV/atom. Its symmetry is Cmc2_1, No. 36. For the formation energy, the calculation gives 0.14 eV/atom. Its calculated volume is 680.8 Å³/cell.

Cell lengths 6.376, 11.137, 11.137 Å; angles 120.58, 90.00, 90.00 degrees
Sites, in units of the cell vectors:
Nd: 0.049 0.372 0.291
Nd: 0.549 0.628 0.709
Nd: 0.148 0.719 0.281
Nd: 0.375 0.964 0.036
Nd: 0.371 0.057 0.475
Nd: 0.549 0.291 0.372
Nd: 0.049 0.709 0.628
Nd: 0.648 0.281 0.719
Nd: 0.875 0.036 0.964
Nd: 0.871 0.475 0.057
Nd: 0.371 0.525 0.943
Nd: 0.871 0.943 0.525
Ho: 0.963 0.712 0.943
Ho: 0.463 0.943 0.712
Ho: 0.463 0.288 0.057
Ho: 0.587 0.616 0.384
Ho: 0.963 0.057 0.288
Ho: 0.087 0.384 0.616
Pm: 0.611 0.805 0.195
Pm: 0.111 0.195 0.805

***

No. 8
A plane-wave DFT calculation with GGA-PBE was carried out for a geometry-optimized Tb3Sm4Th structure.

## Properties
As for the total energy: -79.692 eV per cell. The offset from the most stable computed form comes out at 0 meV/atom. Its symmetry is Pmn2_1, No. 31. For the formation energy, the calculation gives 0.04 eV/atom. Its calculated volume is 533.2 Å³/cell.

Cell lengths 6.300, 7.303, 11.589 Å; angles 90.00, 90.00, 90.00 degrees
Sites, in units of the cell vectors:
Tb: 0.474 0.381 0.250
Tb: 0.974 0.619 0.250
Tb: 0.974 0.619 0.750
Tb: 0.650 0.620 0.000
Tb: 0.474 0.381 0.750
Tb: 0.150 0.380 0.500
Sm: 0.989 0.128 0.752
Sm: 0.489 0.872 0.748
Sm: 0.147 0.867 0.500
Sm: 0.645 0.131 0.500
Sm: 0.489 0.872 0.252
Sm: 0.145 0.869 0.000
Sm: 0.989 0.128 0.248
Sm: 0.647 0.133 0.000
Th: 0.148 0.380 0.000
Th: 0.648 0.620 0.500